Entry from the Alexandria database: crystalline Si2TcWF at its relaxed geometry (PBE+U).

Lattice parameters (Å, degrees): 4.8906 4.8906 4.0305 90.00 90.00 90.00
Last column: nearest neighbours and their distance in Å.
Space group P4/mmm (No. 123)
Symmetry-distinct sites (fractional):
Si 0.0000 0.5000 0.0000 [2 per cell]  2 W 2.45
Tc 0.0000 0.0000 0.5000 [1 per cell]  8 Si 3.17, 4 F 3.46
W 0.5000 0.5000 0.0000 [1 per cell]  2 F 2.02
F 0.5000 0.5000 0.5000 [1 per cell]  2 W 2.02

Results
**Crystal system**: tetragonal
**DFT total energy**: -26.9 eV/f.u.